Entry 1:
This record from the Alexandria database describes crystalline Cs2TlSCl6 at its relaxed geometry. The functional is PBE.

## Properties
For the formation energy (no corrections), the calculation gives -1.02 eV/atom. The density is 3.59 g/cm³. As for the space group: I4/mmm, No. 139.

Cell: 7.910 7.910 7.910 Å, 123.31 123.31 84.36°
Positions (direct):
1 Cs 0.250 0.750 0.500
2 Cs 0.750 0.250 0.500
3 Tl 0.000 0.000 0.000
4 S 0.500 0.500 0.000
5 Cl 0.238 0.238 0.000
6 Cl 0.279 0.279 0.559
7 Cl 0.279 0.721 0.000
8 Cl 0.721 0.279 0.000
9 Cl 0.721 0.721 0.441
10 Cl 0.762 0.762 0.000


Entry 2:
This record from the Alexandria database describes crystalline Cs2US2Cl2 at its relaxed geometry. The functional is PBE.

## Properties
For the formation energy (no corrections), the calculation gives -1.68 eV/atom. The density is 4.22 g/cm³. As for the space group: I4/mmm, No. 139.

Cell: 5.321 5.321 17.759 Å, 90.00 90.00 90.00°
Positions (direct):
1 Cs 0.000 0.000 0.140
2 Cs 0.000 0.000 0.860
3 Cs 0.500 0.500 0.360
4 Cs 0.500 0.500 0.640
5 U 0.000 0.000 0.500
6 U 0.500 0.500 0.000
7 S 0.000 0.500 0.000
8 S 0.000 0.500 0.500
9 S 0.500 0.000 0.000
10 S 0.500 0.000 0.500
11 Cl 0.000 0.000 0.345
12 Cl 0.000 0.000 0.655
13 Cl 0.500 0.500 0.155
14 Cl 0.500 0.500 0.845


Entry 3:
This record from the Alexandria database describes crystalline Cs2US2Cl4 at its relaxed geometry. The functional is PBE.

## Properties
For the formation energy (no corrections), the calculation gives -1.61 eV/atom. The density is 3.78 g/cm³. As for the space group: C2/m, No. 12.

Cell: 7.520 7.520 6.322 Å, 90.27 90.27 60.66°
Positions (direct):
1 Cs 0.167 0.167 0.263
2 Cs 0.833 0.833 0.737
3 U 0.500 0.500 0.000
4 S 0.350 0.350 0.784
5 S 0.650 0.650 0.216
6 Cl 0.170 0.665 0.231
7 Cl 0.335 0.830 0.769
8 Cl 0.665 0.170 0.231
9 Cl 0.830 0.335 0.769


Entry 4:
This record from the Alexandria database describes crystalline CsVSCl2 at its relaxed geometry. The functional is PBE.

## Properties
For the formation energy (no corrections), the calculation gives -1.22 eV/atom. The density is 3.81 g/cm³. As for the space group: P4/mmm, No. 123.

Cell: 5.199 5.199 4.624 Å, 90.00 90.00 90.00°
Positions (direct):
1 Cs 0.000 0.000 0.000
2 V 0.500 0.500 0.500
3 S 0.500 0.500 0.000
4 Cl 0.000 0.500 0.500
5 Cl 0.500 0.000 0.500


Entry 5:
This record from the Alexandria database describes crystalline CsVSCl2 at its relaxed geometry. The functional is PBE.

## Properties
For the formation energy (no corrections), the calculation gives 0.92 eV/atom. The density is 2.44 g/cm³. As for the space group: P4/mmm, No. 123.

Cell: 5.986 5.986 5.441 Å, 90.00 90.00 90.00°
Positions (direct):
1 Cs 0.000 0.000 0.000
2 V 0.500 0.500 0.500
3 S 0.000 0.000 0.500
4 Cl 0.000 0.500 0.000
5 Cl 0.500 0.000 0.000


Entry 6:
This record from the Alexandria database describes crystalline CsWSCl2 at its relaxed geometry. The functional is PBE.

## Properties
For the formation energy (no corrections), the calculation gives 1.48 eV/atom. The density is 3.68 g/cm³. As for the space group: P4/mmm, No. 123.

Cell: 5.930 5.930 5.392 Å, 90.00 90.00 90.00°
Positions (direct):
1 Cs 0.000 0.000 0.000
2 W 0.500 0.500 0.500
3 S 0.000 0.000 0.500
4 Cl 0.000 0.500 0.000
5 Cl 0.500 0.000 0.000